[1]
Here is a geometry-optimized EuLuSnPb structure from Alexandria. Energies are from PBE-GGA.

The energy of formation from the pure elements comes out at -175 kJ/mol of formula units. The calculation puts the total energy at -97.28 eV for the cell shown. Its density of states at the Fermi level is 12.4 states/eV/cell.

It has space group F-43m (No. 216), with a = 7.7129 Å, b = 7.7129 Å, c = 7.7129 Å, α = 90.00°, β = 90.00° and γ = 90.00°. Symmetry generates all atoms from Eu at (0.0000, 0.0000, 0.0000), Lu at (0.0000, 0.0000, 0.5000), Sn at (0.2500, 0.2500, 0.2500) and Pb at (0.2500, 0.2500, 0.7500).

[2]
Here is a geometry-optimized EuLuZnPb structure from Alexandria. Energies are from PBE-GGA.

The energy of formation from the pure elements comes out at -130 kJ/mol of formula units. The calculation puts the total energy at -84.49 eV for the cell shown. Its density of states at the Fermi level is 11.7 states/eV/cell.

It has space group F-43m (No. 216), with a = 7.5239 Å, b = 7.5239 Å, c = 7.5239 Å, α = 90.00°, β = 90.00° and γ = 90.00°. Symmetry generates all atoms from Eu at (0.0000, 0.0000, 0.0000), Lu at (0.0000, 0.0000, 0.5000), Zn at (0.2500, 0.2500, 0.7500) and Pb at (0.2500, 0.2500, 0.2500).

[3]
Here is a geometry-optimized EuLuPd2 structure from Alexandria. Energies are from PBE-GGA.

The energy of formation from the pure elements comes out at -323 kJ/mol of formula units. The calculation puts the energy above the most stable polymorph in this dataset at 0 meV per atom. The calculation puts the total energy at -28.53 eV for the cell shown. Its density of states at the Fermi level is 9.1 states/eV/cell.

It has space group P4/mmm (No. 123), with a = 3.4901 Å, b = 3.4901 Å, c = 7.2399 Å, α = 90.00°, β = 90.00° and γ = 90.00°. Symmetry generates all atoms from Eu at (0.0000, 0.0000, 0.0000), Lu at (0.0000, 0.0000, 0.5000) and Pd at (0.5000, 0.5000, 0.2853).

[4]
Here is a geometry-optimized EuLu3Pd structure from Alexandria. Energies are from PBE-GGA.

The energy of formation from the pure elements comes out at -112 kJ/mol of formula units. The calculation puts the total energy at -30.19 eV for the cell shown. Its density of states at the Fermi level is 6.3 states/eV/cell.

It has space group Pm-3m (No. 221), with a = 5.4157 Å, b = 5.4157 Å, c = 5.4157 Å, α = 90.00°, β = 90.00° and γ = 90.00°. Symmetry generates all atoms from Eu at (0.0000, 0.0000, 0.0000), Lu at (0.0000, 0.5000, 0.5000) and Pd at (0.5000, 0.5000, 0.5000).

[5]
Here is a geometry-optimized EuLuPd2 structure from Alexandria. Energies are from PBE-GGA.

The energy of formation from the pure elements comes out at -290 kJ/mol of formula units. The calculation puts the energy above the most stable polymorph in this dataset at 86 meV per atom. The calculation puts the total energy at -112.76 eV for the cell shown. Its density of states at the Fermi level is 42.9 states/eV/cell.

It has space group Fm-3m (No. 225), with a = 7.0427 Å, b = 7.0427 Å, c = 7.0427 Å, α = 90.00°, β = 90.00° and γ = 90.00°. Symmetry generates all atoms from Eu at (0.0000, 0.0000, 0.0000), Lu at (0.0000, 0.0000, 0.5000) and Pd at (0.2500, 0.2500, 0.2500).

[6]
Here is a geometry-optimized EuLuPdRh structure from Alexandria. Energies are from PBE-GGA.

The energy of formation from the pure elements comes out at -267 kJ/mol of formula units. The calculation puts the total energy at -120.42 eV for the cell shown. Its density of states at the Fermi level is 48.6 states/eV/cell.

It has space group F-43m (No. 216), with a = 6.9499 Å, b = 6.9499 Å, c = 6.9499 Å, α = 90.00°, β = 90.00° and γ = 90.00°. Symmetry generates all atoms from Eu at (0.0000, 0.0000, 0.0000), Lu at (0.0000, 0.0000, 0.5000), Pd at (0.2500, 0.2500, 0.7500) and Rh at (0.2500, 0.2500, 0.2500).

[7]
Here is a geometry-optimized EuLuPdRu structure from Alexandria. Energies are from PBE-GGA.

The energy of formation from the pure elements comes out at -150 kJ/mol of formula units. The calculation puts the total energy at -123.29 eV for the cell shown. Its density of states at the Fermi level is 39.3 states/eV/cell.

It has space group F-43m (No. 216), with a = 6.9052 Å, b = 6.9052 Å, c = 6.9052 Å, α = 90.00°, β = 90.00° and γ = 90.00°. Symmetry generates all atoms from Eu at (0.0000, 0.0000, 0.0000), Lu at (0.0000, 0.0000, 0.5000), Pd at (0.2500, 0.2500, 0.7500) and Ru at (0.2500, 0.2500, 0.2500).

[8]
Here is a geometry-optimized EuLuSiPd structure from Alexandria. Energies are from PBE-GGA.

The calculation puts the total energy at -111.22 eV for the cell shown. For the uncorrected formation energy, the calculation gives -0.599 eV/atom. Its density of states at the Fermi level is 40.0 states/eV/cell.

It has space group F-43m (No. 216), with a = 7.0692 Å, b = 7.0692 Å, c = 7.0692 Å, α = 90.00°, β = 90.00° and γ = 90.00°. Symmetry generates all atoms from Eu at (0.0000, 0.0000, 0.0000), Lu at (0.0000, 0.0000, 0.5000), Si at (0.2500, 0.2500, 0.7500) and Pd at (0.2500, 0.2500, 0.2500).